# Na4ZrMo4O16 PBE with a Hubbard U relaxed
data_Na4ZrMo4O16
_chemical_formula_sum 'Na16 Zr4 Mo16 O64'
_space_group_name_H-M_alt 'I 41/a'
_space_group_IT_number 88
_cell_length_a 11.2720
_cell_length_b 11.2720
_cell_length_c 11.7899
_cell_angle_alpha 90.00
_cell_angle_beta 90.00
_cell_angle_gamma 90.00
loop_
_space_group_symop_operation_xyz
'x,y,z'
'-x,-y,-z'
'-y+3/4,x+1/4,z+1/4'
'y+3/4,-x+1/4,-z+1/4'
'-x+1/2,-y,z+1/2'
'x+1/2,y,-z+1/2'
'y+3/4,-x+3/4,z+3/4'
'-y+3/4,x+3/4,-z+3/4'
'x+1/2,y+1/2,z+1/2'
'-x+1/2,-y+1/2,-z+1/2'
'-y+1/4,x+3/4,z+3/4'
'y+1/4,-x+3/4,-z+3/4'
'-x,-y+1/2,z'
'x,y+1/2,-z'
'y+1/4,-x+1/4,z+1/4'
'-y+1/4,x+1/4,-z+1/4'
loop_
_atom_site_label
_atom_site_fract_x
_atom_site_fract_y
_atom_site_fract_z
Na1 0.1137 0.0252 0.3471
Zr1 0.0000 0.2500 0.1250
Mo1 0.0850 0.0703 0.8759
O1 0.0451 0.4000 0.7984
O2 0.0573 0.3599 0.2740
O3 0.0790 0.4197 0.0595
O4 0.1727 0.4560 0.4695
# final energy: -0.25032 Ha/atom
# density of states at the Fermi level: 0.000 states/eV per atom
# volume: 1498 Å³/cell
# crystal system: tetragonal